# 1
The following is a PBE calculation of an optimized crystal structure of La2TaBP, from Alexandria via LeMat-Bulk.

Structure (POSCAR):
```
La2TaBP
1.0
-4.6267 -2.7198 -1.6896
1.8243 -2.9978 -0.1698
-1.3102 -1.1009 5.3600
P B La Ta
1 1 2 1
Cartesian
0.9121 -1.4989 -0.0849
0.0000 0.0000 0.0000
-0.6551 -0.5505 2.6800
-2.3133 -1.3599 -0.8448
-2.0563 -3.4093 1.7503
```

Calculated values
Final energy: -6.38 eV per atom
ρ: 7.47 g/cm3
Magnetization: 0.00 μB/f.u.

=====

# 2
The following is a PBE calculation of an optimized crystal structure of AcBi7Pd5, from Alexandria via LeMat-Bulk.

Structure (POSCAR):
```
AcBi7Pd5
1.0
6.1125 0.0000 0.0000
3.0563 7.2911 0.0612
3.0563 0.0377 7.2912
Ac Bi Pd
1 7 5
Cartesian
6.1125 0.0068 0.0068
6.1125 2.5175 2.5256
6.1125 4.9258 4.9417
9.1688 2.7525 5.0914
9.1688 5.0825 2.7689
3.0563 1.6949 1.7004
6.1125 5.7165 1.1938
6.1125 1.1753 5.7203
7.6108 7.2906 3.6353
4.6142 7.2906 3.6353
7.6108 3.6117 7.3023
4.6142 3.6117 7.3023
9.1688 5.6246 5.6428
```

Calculated values
Final energy: -4.69 eV per atom
ρ: 11.36 g/cm3
Magnetization: 0.00 μB/f.u.

=====

# 3
The following is a PBE calculation of an optimized crystal structure of LiNd2Sn4Pd3, from Alexandria via LeMat-Bulk.

Structure (POSCAR):
```
LiNd2Sn4Pd3
1.0
-0.8292 2.6289 3.5799
-4.3917 0.0587 -1.0603
-1.6270 -9.0106 6.2399
Li Nd Sn Pd
1 2 4 3
Cartesian
-3.4239 -3.1615 4.3798
-0.8336 -1.0062 3.3970
-3.4038 -6.6606 4.1027
-2.6104 1.3438 1.2598
0.0000 0.0000 0.0000
-1.4412 -4.3714 5.7274
-2.7962 -3.2954 1.7723
-0.8135 -4.5053 3.1200
-1.8256 -6.5002 7.2017
-2.4118 -1.1666 0.2980
```

Calculated values
Final energy: -5.02 eV per atom
ρ: 8.00 g/cm3
Magnetization: 0.00 μB/f.u.

=====

# 4
The following is a PBE calculation of an optimized crystal structure of Ti11Ga9Cu4, from Alexandria via LeMat-Bulk.

Structure (POSCAR):
```
Ti11Ga9Cu4
1.0
-1.9141 2.1260 -0.4584
-6.6390 -7.4017 -6.6061
-2.4460 0.3162 11.6799
Ti Ga Cu
11 9 4
Cartesian
-6.3282 -4.1258 7.2892
-2.7568 -2.9598 -2.2154
-7.8547 -6.9357 0.6317
-1.2303 -0.1498 4.4421
-5.0501 -4.4772 0.3230
-4.0348 -2.6084 4.7508
-5.9300 -6.0967 -3.5141
-3.1550 -0.9889 8.5878
0.0000 0.0000 0.0000
-6.5182 -5.0836 3.6403
-2.5668 -2.0019 1.4335
-5.5056 -3.4881 -2.3437
-5.4935 -1.4714 6.9590
-3.6132 -0.0050 5.9089
-7.3858 -4.9546 -1.2936
-8.4975 -4.4561 5.6598
-2.5016 -0.5034 -1.0444
-9.1796 -5.7117 2.6851
-1.8195 0.7521 1.9303
-5.4995 -2.4798 2.3077
-6.5732 -2.8672 4.9941
-4.4258 -2.0923 -0.3787
-7.4216 -4.4288 1.2944
-3.5775 -0.5308 3.3210
```

Calculated values
Final energy: -5.76 eV per atom
ρ: 6.32 g/cm3
Magnetization: 0.61 μB/f.u.

=====

# 5
The following is a PBE calculation of an optimized crystal structure of Ce2Ni4P3Rh, from Alexandria via LeMat-Bulk.

Structure (POSCAR):
```
Ce2Ni4P3Rh
1.0
-3.8251 0.0686 0.5831
-0.2194 -3.7319 -1.0002
1.4055 -2.6366 9.5298
Ce Ni P Rh
2 4 3 1
Cartesian
-1.5605 -0.6261 2.6786
0.9437 -3.8422 6.6426
-2.0222 -1.8316 -0.2085
0.0000 0.0000 0.0000
-0.9887 -1.6987 6.5555
0.3719 -2.7695 2.7658
0.7027 -1.3183 4.7649
-0.6782 -2.2812 8.6608
0.0614 -2.1871 0.6605
-1.3195 -3.1500 4.5564
```

Calculated values
Final energy: -6.74 eV per atom
ρ: 7.89 g/cm3
Magnetization: 0.00 μB/f.u.

=====

# 6
The following is a PBE calculation of an optimized crystal structure of YTcTe2, from Alexandria via LeMat-Bulk.

Structure (POSCAR):
```
YTcTe2
1.0
4.8007 0.0000 0.0000
0.0000 3.7763 0.0166
0.0000 1.8739 5.6644
Tc Te Y
1 2 1
Cartesian
2.4003 4.9418 4.3924
0.0000 4.9419 5.2820
2.4003 1.1784 1.7444
0.0000 3.0634 2.7837
```

Calculated values
Final energy: -6.06 eV per atom
ρ: 7.16 g/cm3
Energy relative to the elements, uncorrected: -1.14 eV per formula unit
E above lowest polymorph: 0.1669 eV per atom
Magnetization: 0.00 μB/f.u.